Compound: YCrRu2
Source: the Alexandria database
Functional: PBEsol
Structure: relaxed

```
YCrRu2
1.0
-1.5236 2.2514 4.6678
1.5236 -2.2514 4.6678
1.5236 2.2514 -4.6678
Y Cr Ru
1 1 2
Cartesian
0.0000 0.0000 0.0000
1.5236 0.0000 2.5632
0.0000 0.0000 4.6850
0.0000 2.2514 2.1841
```

Computed properties:
E above lowest polymorph   91 meV/atom
Theoretical density   8.894 Mg/m³
Total magnetization   0.719 μB/atom
Formation energy from the elements   0.289 eV/atom
Fermi-level density of states   1.05 states/eV per atom